Material: Co2IrPt
Method: DFT, GGA-PBE
State: optimized geometry

Geometry as CIF:
```
data_Co2IrPt
_cell_length_a 2.7362
_cell_length_b 4.5643
_cell_length_c 8.8152
_cell_angle_alpha 90.00
_cell_angle_beta 90.00
_cell_angle_gamma 90.00
_space_group_name_H-M_alt 'C m m m'
_space_group_IT_number 65
_space_group_name_Hall '-C 2 2'
loop_
_atom_site_label
_atom_site_fract_x
_atom_site_fract_y
_atom_site_fract_z
_atom_site_occupancy
Co1 0.0000 0.0000 0.2453 1
Ir1 0.0000 0.5000 0.0000 1
Pt1 0.0000 0.5000 0.5000 1
```

Material: Co2IrPt
Method: DFT, GGA-PBE
State: optimized geometry

Geometry as CIF:
```
data_Co2IrPt
_cell_length_a 4.0515
_cell_length_b 2.6730
_cell_length_c 9.7943
_cell_angle_alpha 90.00
_cell_angle_beta 90.00
_cell_angle_gamma 90.00
_space_group_name_H-M_alt 'A m m 2'
_space_group_IT_number 38
loop_
_space_group_symop_operation_xyz
'x,y,z'
'-x,-y,z'
'-x,y,z'
'x,-y,z'
'x,y+1/2,z+1/2'
'-x,-y+1/2,z+1/2'
'-x,y+1/2,z+1/2'
'x,-y+1/2,z+1/2'
loop_
_atom_site_label
_atom_site_fract_x
_atom_site_fract_y
_atom_site_fract_z
_atom_site_occupancy
Co1 0.0000 0.0000 0.0000 1
Co2 0.5000 0.0000 0.1293 1
Ir1 0.0000 0.0000 0.7309 1
Pt1 0.5000 0.0000 0.3910 1
```

Calculated energy above the most stable polymorph in this dataset, 189; 20 meV per atom (same order as the records).